# 1
This record from the Alexandria database describes an optimized crystal structure of HoErTmAl. The functional is PBE-GGA.

Unit cell a=7.4881 b=7.4881 c=7.4881 alpha=90.00 beta=90.00 gamma=90.00
Closest atoms and distances in Å follow each position.
Element x y z (fractional)
Ho1 0.0000 0.0000 0.0000  4 Tm 3.24, 4 Al 3.24
Ho2 0.0000 0.5000 0.5000  4 Al 3.24, 4 Tm 3.24
Ho3 0.5000 0.0000 0.5000  4 Al 3.24, 4 Tm 3.24
Ho4 0.5000 0.5000 0.0000  4 Al 3.24, 4 Tm 3.24
Er1 0.0000 0.0000 0.5000  4 Tm 3.24, 4 Al 3.24
Er2 0.0000 0.5000 0.0000  4 Tm 3.24, 4 Al 3.24
Er3 0.5000 0.0000 0.0000  4 Tm 3.24, 4 Al 3.24
Er4 0.5000 0.5000 0.5000  4 Tm 3.24, 4 Al 3.24
Tm1 0.2500 0.2500 0.2500  4 Ho 3.24, 4 Er 3.24
Tm2 0.2500 0.7500 0.7500  4 Ho 3.24, 4 Er 3.24
Tm3 0.7500 0.2500 0.7500  4 Ho 3.24, 4 Er 3.24
Tm4 0.7500 0.7500 0.2500  4 Ho 3.24, 4 Er 3.24
Al1 0.2500 0.2500 0.7500  4 Ho 3.24, 4 Er 3.24
Al2 0.2500 0.7500 0.2500  4 Ho 3.24, 4 Er 3.24
Al3 0.7500 0.2500 0.2500  4 Ho 3.24, 4 Er 3.24
Al4 0.7500 0.7500 0.7500  4 Ho 3.24, 4 Er 3.24

Results
- energy of formation (eV/f.u.) = -0.26
- space-group type = No. 216
- VASP energy (eV/cell) = -70.4

***

# 2
This record from the Alexandria database describes an optimized crystal structure of YHoErAl. The functional is PBE-GGA.

Unit cell a=4.7316 b=4.7379 c=4.7641 alpha=90.00 beta=90.00 gamma=90.00
Closest atoms and distances in Å follow each position.
Element x y z (fractional)
Y1 0.0000 0.0000 0.0000  4 Al 3.35, 4 Er 3.36, 4 Ho 3.36
Ho1 0.0000 0.5000 0.5000  4 Er 3.35, 4 Al 3.36, 4 Y 3.36
Er1 0.5000 0.0000 0.5000  4 Ho 3.35, 4 Y 3.36, 4 Al 3.36
Al1 0.5000 0.5000 0.0000  4 Y 3.35, 4 Ho 3.36, 4 Er 3.36

Results
- energy of formation (eV/f.u.) = -0.76
- space-group type = No. 47
- VASP energy (eV/cell) = -20.1

***

# 3
This record from the Alexandria database describes an optimized crystal structure of YHoErAl. The functional is PBE-GGA.

Unit cell a=7.5394 b=7.5394 c=7.5394 alpha=90.00 beta=90.00 gamma=90.00
Closest atoms and distances in Å follow each position.
Element x y z (fractional)
Y1 0.0000 0.0000 0.0000  4 Ho 3.26, 4 Al 3.26
Y2 0.0000 0.5000 0.5000  4 Ho 3.26, 4 Al 3.26
Y3 0.5000 0.0000 0.5000  4 Ho 3.26, 4 Al 3.26
Y4 0.5000 0.5000 0.0000  4 Ho 3.26, 4 Al 3.26
Ho1 0.2500 0.2500 0.2500  4 Er 3.26, 4 Y 3.26
Ho2 0.2500 0.7500 0.7500  4 Er 3.26, 4 Y 3.26
Ho3 0.7500 0.2500 0.7500  4 Er 3.26, 4 Y 3.26
Ho4 0.7500 0.7500 0.2500  4 Er 3.26, 4 Y 3.26
Er1 0.0000 0.0000 0.5000  4 Al 3.26, 4 Ho 3.26
Er2 0.0000 0.5000 0.0000  4 Al 3.26, 4 Ho 3.26
Er3 0.5000 0.0000 0.0000  4 Al 3.26, 4 Ho 3.26
Er4 0.5000 0.5000 0.5000  4 Al 3.26, 4 Ho 3.26
Al1 0.2500 0.2500 0.7500  4 Er 3.26, 4 Y 3.26
Al2 0.2500 0.7500 0.2500  4 Er 3.26, 4 Y 3.26
Al3 0.7500 0.2500 0.2500  4 Er 3.26, 4 Y 3.26
Al4 0.7500 0.7500 0.7500  4 Er 3.26, 4 Y 3.26

Results
- energy of formation (eV/f.u.) = -0.20
- space-group type = No. 216
- VASP energy (eV/cell) = -78.2

***

> Which of these has the lowest energy of formation?

number 2